Record 1
Cs3SbI6 | PBE-GGA | relaxed

Values from the calculation:
Calculated volume = 55.7 A^3/atom
Fermi-level density of states = 0.00 states/eV/f.u.
Polymorph energy (0 for the lowest one) = 0.000 eV per atom
Final energy = -2.68 eV/atom
Space group = P2_1/c, No. 14
Uncorrected formation energy = -1077 meV per atom

Unit cell a=8.9702 b=9.5705 c=12.9841 alpha=90.00 beta=91.00 gamma=90.00
Sites, in units of the cell vectors:
Cs  0.5305  0.9166  0.7450
Cs  0.5000  0.5000  0.0000
Cs  0.4695  0.0834  0.2550
Cs  0.0305  0.5834  0.2450
Cs  0.0000  0.0000  0.5000
Cs  0.9695  0.4166  0.7550
Sb  0.5000  0.5000  0.5000
Sb  0.0000  0.0000  0.0000
I  0.7226  0.1693  0.9424
I  0.6593  0.2287  0.5633
I  0.6160  0.4643  0.2818
I  0.3840  0.5357  0.7182
I  0.3407  0.7713  0.4367
I  0.2774  0.8307  0.0576
I  0.2226  0.3307  0.4424
I  0.1593  0.2713  0.0633
I  0.1160  0.0357  0.7818
I  0.8840  0.9643  0.2182
I  0.8407  0.7287  0.9367
I  0.7774  0.6693  0.5576

Record 2
SrCo2Ir | PBE-GGA | relaxed

Values from the calculation:
Calculated volume = 22.2 A^3/atom
Fermi-level density of states = 5.54 states/eV/f.u.
Final energy = -5.78 eV/atom
Space group = I4_1/amd, No. 141

Unit cell a=4.6418 b=4.6418 c=8.8823 alpha=74.85 beta=74.85 gamma=90.00
Sites, in units of the cell vectors:
Sr  0.5000  0.5000  0.0000
Sr  0.2500  0.7500  0.5000
Ir  0.0000  0.0000  0.0000
Ir  0.7500  0.2500  0.5000
Co  0.8747  0.1250  0.2500
Co  0.8753  0.6250  0.2500
Co  0.3750  0.1253  0.7500
Co  0.8750  0.1247  0.7500

Record 3
MgFeBr2 | PBE-GGA | relaxed

Values from the calculation:
Calculated volume = 28.8 A^3/atom
Fermi-level density of states = 3.16 states/eV/f.u.
Polymorph energy (0 for the lowest one) = 0.241 eV per atom
Final energy = -3.40 eV/atom
Space group = P2/m, No. 10
Uncorrected formation energy = -52 meV per atom

Unit cell a=3.5263 b=6.0853 c=6.2165 alpha=59.63 beta=90.00 gamma=90.00
Sites, in units of the cell vectors:
Br  0.0000  0.0875  0.0825
Br  0.0000  0.4125  0.4175
Fe  0.5000  0.2500  0.2500
Mg  0.5000  0.7500  0.7500

Record 4
Zr2ZnCl | PBE-GGA | relaxed

Values from the calculation:
Calculated volume = 18.6 A^3/atom
Fermi-level density of states = 3.39 states/eV/f.u.
Polymorph energy (0 for the lowest one) = 0.095 eV per atom
Final energy = -5.44 eV/atom
Space group = P4/mmm, No. 123
Uncorrected formation energy = -385 meV per atom

Unit cell a=3.1241 b=3.1241 c=7.6374 alpha=90.00 beta=90.00 gamma=89.99
Sites, in units of the cell vectors:
Cl  0.5000  0.5000  0.2500
Zn  0.5000  0.5000  0.7500
Zr  0.0000  0.0000  0.9924
Zr  0.0000  0.0000  0.5076

Record 5
Ba2Y2Cu | PBE-GGA | relaxed

Values from the calculation:
Calculated volume = 37.3 A^3/atom
Fermi-level density of states = 6.60 states/eV/f.u.
Final energy = -3.92 eV/atom
Space group = P4/mbm, No. 127

Unit cell a=7.6320 b=7.6320 c=6.3984 alpha=90.00 beta=90.00 gamma=90.00
Sites, in units of the cell vectors:
Y  0.3405  0.8405  0.0000
Y  0.8405  0.6595  0.0000
Y  0.6595  0.1595  0.0000
Y  0.1595  0.3405  0.0000
Ba  0.1770  0.6770  0.5000
Ba  0.6770  0.8230  0.5000
Ba  0.8230  0.3230  0.5000
Ba  0.3230  0.1770  0.5000
Cu  0.0000  0.0000  0.0000
Cu  0.5000  0.5000  0.0000

Record 6
AgIr3 | PBE-GGA | relaxed

Values from the calculation:
Calculated volume = 15.3 A^3/atom
Fermi-level density of states = 4.51 states/eV/f.u.
Final energy = -7.13 eV/atom
Space group = P4/mmm, No. 123

Unit cell a=2.7651 b=2.7651 c=8.0040 alpha=90.00 beta=90.00 gamma=90.00
Sites, in units of the cell vectors:
Ir  0.0000  0.0000  0.5000
Ir  0.5000  0.5000  0.2688
Ir  0.5000  0.5000  0.7312
Ag  0.0000  0.0000  0.0000

Record 7
Tb6CO5 | PBE-GGA | relaxed

Values from the calculation:
Calculated volume = 14.7 A^3/atom
Fermi-level density of states = 3.33 states/eV/f.u.
Final energy = -7.66 eV/atom
Space group = C2/m, No. 12
Uncorrected formation energy = -2507 meV per atom

Unit cell a=6.0049 b=6.0049 c=6.0131 alpha=99.54 beta=99.54 gamma=120.25
Sites, in units of the cell vectors:
C  0.0000  0.0000  0.0000
Tb  0.4101  0.0825  0.2468
Tb  0.9175  0.5899  0.7532
Tb  0.2479  0.2479  0.7549
Tb  0.7521  0.7521  0.2451
Tb  0.0825  0.4101  0.2468
Tb  0.5899  0.9175  0.7532
O  0.8381  0.1619  0.5000
O  0.6679  0.3321  0.0000
O  0.5000  0.5000  0.5000
O  0.3321  0.6679  0.0000
O  0.1619  0.8381  0.5000

Record 8
Sc2As | PBE-GGA | relaxed

Values from the calculation:
Calculated volume = 20.1 A^3/atom
Fermi-level density of states = 3.99 states/eV/f.u.
Final energy = -6.73 eV/atom
Space group = P-62m, No. 189

Unit cell a=7.3485 b=7.3485 c=3.8588 alpha=90.00 beta=90.00 gamma=120.00
Sites, in units of the cell vectors:
As  0.3333  0.6667  0.0000
As  0.6667  0.3333  0.0000
As  0.0000  0.0000  0.5000
Sc  0.2605  0.0000  0.0000
Sc  0.0000  0.2605  0.0000
Sc  0.7395  0.7395  0.0000
Sc  0.5982  0.0000  0.5000
Sc  0.0000  0.5982  0.5000
Sc  0.4018  0.4018  0.5000

Record 9
Mg2Zn3Ga2 | PBE-GGA | relaxed

Values from the calculation:
Calculated volume = 19.0 A^3/atom
Fermi-level density of states = 4.26 states/eV/f.u.
Polymorph energy (0 for the lowest one) = 0.082 eV per atom
Final energy = -1.83 eV/atom
Space group = I2_13, No. 199

Unit cell a=7.0225 b=7.0225 c=7.0225 alpha=109.47 beta=109.47 gamma=109.47
Sites, in units of the cell vectors:
Mg  0.0000  0.0000  0.5090
Mg  0.5000  0.5090  0.5000
Mg  0.4910  0.9910  0.9910
Mg  0.0090  0.5000  0.0000
Zn  0.7657  0.7500  0.0157
Zn  0.7343  0.2500  0.4843
Zn  0.9843  0.2343  0.2500
Zn  0.5157  0.2657  0.7500
Zn  0.2500  0.0157  0.2657
Zn  0.7500  0.4843  0.2343
Ga  0.0000  0.0000  0.8834
Ga  0.5000  0.8834  0.5000
Ga  0.1166  0.6166  0.6166
Ga  0.3834  0.5000  0.0000

Record 10
LiBeI | PBE-GGA | relaxed

Values from the calculation:
Calculated volume = 24.0 A^3/atom
Polymorph energy (0 for the lowest one) = 0.093 eV per atom
Final energy = -2.56 eV/atom
Space group = Pm, No. 6
Uncorrected formation energy = -165 meV per atom

Unit cell a=5.3979 b=4.2821 c=6.7047 alpha=90.00 beta=111.95 gamma=90.00
Sites, in units of the cell vectors:
Li  0.3166  0.0000  0.2043
Li  0.5832  0.5000  0.5886
Be  0.7828  0.2494  0.3274
Be  0.7828  0.7506  0.3274
I  0.2373  0.0000  0.6110
I  0.9460  0.5000  0.0373

Record 11
TlGeOs3 | PBE-GGA | relaxed

Values from the calculation:
Calculated volume = 25.0 A^3/atom
Fermi-level density of states = 6.83 states/eV/f.u.
Polymorph energy (0 for the lowest one) = 1.506 eV per atom
Final energy = -4.95 eV/atom
Space group = Pm-3m, No. 221

Unit cell a=5.0000 b=5.0000 c=5.0000 alpha=90.00 beta=90.00 gamma=90.00
Sites, in units of the cell vectors:
Tl  0.0000  0.0000  0.0000
Os  0.0000  0.5000  0.0000
Os  0.0000  0.0000  0.5000
Os  0.5000  0.0000  0.0000
Ge  0.5000  0.5000  0.5000

Record 12
PmHf2BeN4 | PBE-GGA | relaxed

Values from the calculation:
Calculated volume = 11.7 A^3/atom
Fermi-level density of states = 1.43 states/eV/f.u.
Final energy = -9.32 eV/atom
Space group = Cmcm, No. 63
Uncorrected formation energy = -1607 meV per atom

Unit cell a=3.2269 b=5.6339 c=10.7386 alpha=90.00 beta=90.00 gamma=106.64
Sites, in units of the cell vectors:
Pm  0.1014  0.2028  0.7500
Pm  0.8986  0.7972  0.2500
Hf  0.3686  0.7372  0.5518
Hf  0.6314  0.2628  0.0518
Hf  0.6314  0.2628  0.4482
Hf  0.3686  0.7372  0.9482
Be  0.8262  0.6523  0.7500
Be  0.1738  0.3477  0.2500
N  0.2649  0.5298  0.1201
N  0.7351  0.4702  0.6201
N  0.7351  0.4702  0.8799
N  0.2649  0.5298  0.3799
N  0.0000  0.0000  0.5000
N  0.0000  0.0000  0.0000
N  0.4178  0.8356  0.7500
N  0.5822  0.1644  0.2500

What is the formula in the third record?
MgFeBr2

Which value of calculated volume does entry 6 give?
15.3 A^3/atom

Look up the final energy of the sixth one.
-7.13 eV/atom